# 1
NaSrCoW GGA-PBE relaxed; space group = F-43m, No. 216; magnetization = 0.835 μB/atom; energy relative to the lowest polymorph listed for this composition = 1.70 eV per formula unit
1.0
-0.7960 -3.3122 -3.7053
-4.3392 0.0707 -2.5496
-0.0809 1.5510 -4.7877
Co Na Sr W
1 1 1 1
direct
0.5000 0.5000 0.5000
0.7500 0.7500 0.7500
0.2500 0.2500 0.2500
0.0000 0.0000 0.0000

=====

# 2
Y2BMo GGA-PBE relaxed; space group = F-43m, No. 216; magnetization = 0.271 μB/atom; final energy = -6.76 eV/atom
1.0
0.2592 0.5432 4.6580
-1.4438 4.0063 1.9811
-3.9249 0.0634 2.5789
B Mo Y
1 1 2
direct
0.5000 0.5000 0.5000
0.2500 0.2500 0.2500
0.0000 0.0000 0.0000
0.7500 0.7500 0.7500

=====

# 3
PrSi3Pt4 GGA-PBE relaxed; space group = Pm, No. 6; magnetization = 0.001 μB/atom; final energy = -6.39 eV/atom
1.0
-4.8125 -2.5584 1.1763
-0.6832 -0.4232 -3.7158
4.5170 -5.6620 -0.1858
Pr Pt Si
1 4 3
direct
0.0445 0.5000 0.2786
0.6326 0.5000 0.4855
0.3136 0.0000 0.6032
0.8865 0.5000 0.8564
0.2748 0.0000 0.9851
0.4898 0.0000 0.2960
0.9066 0.0000 0.6541
0.4517 0.5000 0.8410

=====

# 4
LuPaAsO GGA-PBE relaxed; space group = P4/nmm, No. 129; magnetization = 0.002 μB/atom; energy relative to the lowest polymorph listed for this composition = 0.32 eV per formula unit
1.0
4.1855 0.0000 0.0000
0.0000 4.1855 0.0000
0.0000 0.0000 9.1347
As Lu O Pa
2 2 2 2
direct
0.0000 0.5000 0.2713
0.5000 0.0000 0.7287
0.5000 0.0000 0.0946
0.0000 0.5000 0.9054
0.0000 0.0000 0.0000
0.5000 0.5000 0.0000
0.0000 0.0000 0.5000
0.5000 0.5000 0.5000

=====

# 5
YFeSnHg GGA-PBE relaxed; space group = F-43m, No. 216; magnetization = 0.545 μB/atom; energy relative to the lowest polymorph listed for this composition = 0.28 eV per formula unit
1.0
0.0000 3.5033 3.5033
3.5033 0.0000 3.5033
3.5033 3.5033 0.0000
Fe Hg Sn Y
1 1 1 1
direct
0.7500 0.7500 0.7500
0.2500 0.2500 0.2500
0.0000 0.0000 0.0000
0.5000 0.5000 0.5000

=====

# 6
GaCo9 GGA-PBE relaxed; space group = P4/nmm, No. 129; magnetization = 0.704 μB/atom; energy relative to the lowest polymorph listed for this composition = 0.00 eV per formula unit
1.0
-1.1445 1.8010 1.2932
-1.9343 -0.0998 -1.5730
-20.7591 -33.0273 27.6236
Co Ga
18 2
direct
0.5000 0.0000 0.1935
0.0000 0.5000 0.2282
0.5000 0.0000 0.2642
0.0000 0.5000 0.3000
0.5000 0.0000 0.3371
0.0000 0.5000 0.3728
0.5000 0.0000 0.4096
0.0000 0.5000 0.4456
0.5000 0.0000 0.4826
0.0000 0.5000 0.5174
0.5000 0.0000 0.5544
0.0000 0.5000 0.5904
0.5000 0.0000 0.6272
0.0000 0.5000 0.6629
0.5000 0.0000 0.7000
0.0000 0.5000 0.7358
0.5000 0.0000 0.7718
0.0000 0.5000 0.8065
0.0000 0.5000 0.1537
0.5000 0.0000 0.8463

=====

# 7
H2PdO2 GGA-PBE relaxed; space group = P-3m1, No. 164; final energy = -4.87 eV/atom
1.0
3.5025 0.0000 0.0000
-1.7513 3.0333 0.0000
0.0000 0.0000 4.1160
H O Pd
2 2 1
direct
0.6667 0.3333 0.4589
0.3333 0.6667 0.5411
0.6667 0.3333 0.2192
0.3333 0.6667 0.7808
0.0000 0.0000 0.0000

=====

# 8
GdPbSO GGA-PBE relaxed; space group = Pbca, No. 61; magnetization = 0.000 μB/atom; energy relative to the lowest polymorph listed for this composition = 0.00 eV per formula unit
1.0
6.0887 0.0000 0.0000
0.0000 6.2211 0.0000
0.0000 0.0000 17.3455
Gd O Pb S
8 8 8 8
direct
0.5381 0.3737 0.2023
0.9619 0.8737 0.2023
0.0381 0.3737 0.2977
0.4619 0.8737 0.2977
0.5381 0.1263 0.7023
0.9619 0.6263 0.7023
0.0381 0.1263 0.7977
0.4619 0.6263 0.7977
0.2467 0.1364 0.2321
0.2533 0.6364 0.2321
0.7468 0.1364 0.2679
0.7533 0.6364 0.2679
0.2467 0.3636 0.7321
0.2533 0.8636 0.7321
0.7468 0.3636 0.7679
0.7533 0.8636 0.7679
0.1957 0.1584 0.0321
0.3043 0.6584 0.0321
0.6957 0.1584 0.4679
0.8043 0.6584 0.4679
0.1957 0.3416 0.5321
0.3043 0.8416 0.5321
0.6957 0.3416 0.9679
0.8043 0.8416 0.9679
0.8910 0.4856 0.1061
0.6090 0.9856 0.1061
0.3910 0.4856 0.3939
0.1090 0.9856 0.3939
0.8910 0.0144 0.6061
0.6090 0.5144 0.6061
0.3910 0.0144 0.8939
0.1090 0.5144 0.8939

=====

# 9
GaReAs GGA-PBE relaxed; space group = F-43m, No. 216; magnetization = 0.004 μB/atom; energy relative to the lowest polymorph listed for this composition = 0.89 eV per formula unit
1.0
-2.7354 -0.8068 -3.0999
-3.0013 2.8012 -0.9426
0.2016 2.1701 -3.6046
As Ga Re
1 1 1
direct
0.0000 0.0000 0.0000
0.2500 0.2500 0.2500
0.7500 0.7500 0.7500

=====

# 10
Li2MgMoH6 GGA-PBE relaxed; space group = Fm-3m, No. 225; magnetization = 0.200 μB/atom; final energy = -3.67 eV/atom
1.0
0.0000 3.6092 3.6092
3.6092 0.0000 3.6092
3.6092 3.6092 0.0000
H Li Mg Mo
6 2 1 1
direct
0.7476 0.2524 0.2524
0.2524 0.7476 0.2524
0.7476 0.7476 0.2524
0.2524 0.2524 0.7476
0.7476 0.2524 0.7476
0.2524 0.7476 0.7476
0.2500 0.2500 0.2500
0.7500 0.7500 0.7500
0.0000 0.0000 0.0000
0.5000 0.5000 0.5000

=====

# 11
Sc2SiGePd4 GGA-PBE relaxed; space group = Amm2, No. 38; magnetization = 0.001 μB/atom; final energy = -6.31 eV/atom
1.0
-3.3449 0.5089 -6.3262
-4.2558 -2.5155 2.0478
-4.5891 1.1148 2.5161
Ge Pd Sc Si
1 4 2 1
direct
0.0000 0.7353 0.7353
0.2046 0.1363 0.1363
0.7954 0.1363 0.1363
0.3065 0.8619 0.8619
0.6935 0.8619 0.8619
0.0000 0.4541 0.4541
0.5000 0.5476 0.5476
0.5000 0.2666 0.2666

=====

# 12
ReGePb GGA-PBE relaxed; space group = F-43m, No. 216; magnetization = 0.002 μB/atom; energy relative to the lowest polymorph listed for this composition = 0.00 eV per formula unit
1.0
3.6648 1.3054 2.2945
0.0445 -0.2386 4.5100
2.5796 -3.0733 2.0735
Ge Pb Re
1 1 1
direct
0.2500 0.2500 0.2500
0.7500 0.7500 0.7500
0.0000 0.0000 0.0000

=====

# 13
CsNd2Cu3S5 GGA-PBE relaxed; space group = Cmcm, No. 63; magnetization = 0.000 μB/atom; final energy = -5.05 eV/atom
1.0
1.7336 7.1872 -0.0130
-2.3174 -5.9134 -3.7845
-16.4857 3.9834 3.8705
Cs Cu Nd S
2 6 4 10
direct
0.0617 0.9383 0.2500
0.9383 0.0617 0.7500
0.5854 0.4146 0.0337
0.3350 0.6650 0.2500
0.5854 0.4146 0.4663
0.4146 0.5854 0.5337
0.6650 0.3350 0.7500
0.4146 0.5854 0.9663
0.8091 0.1909 0.0904
0.8091 0.1909 0.4096
0.1909 0.8091 0.5904
0.1909 0.8091 0.9096
0.1649 0.8351 0.0690
0.4428 0.5572 0.1053
0.7707 0.2293 0.2500
0.4428 0.5572 0.3947
0.1649 0.8351 0.4310
0.8351 0.1649 0.5690
0.5572 0.4428 0.6053
0.2293 0.7707 0.7500
0.5572 0.4428 0.8947
0.8351 0.1649 0.9310

=====

# 14
ErTmMg6 GGA-PBE relaxed; space group = Amm2, No. 38; magnetization = 0.001 μB/atom; energy relative to the lowest polymorph listed for this composition = 0.00 eV per formula unit
1.0
-2.3822 -3.5213 -2.7175
4.5751 -4.3348 1.6065
-1.5064 -3.1954 5.4611
Er Mg Tm
1 6 1
direct
0.0000 0.1217 0.1217
0.0000 0.6345 0.0676
0.5000 0.8653 0.4326
0.0000 0.5802 0.5802
0.0000 0.0676 0.6345
0.5000 0.4326 0.8653
0.5000 0.9195 0.9195
0.5000 0.3783 0.3783

=====

# 15
ScAlGa4Ir GGA-PBE relaxed; space group = P4/mmm, No. 123; magnetization = 0.001 μB/atom; final energy = -4.94 eV/atom
1.0
-0.1980 -4.0863 -1.2181
4.1852 -0.4194 0.7268
-1.2783 -1.8193 6.3109
Al Ga Ir Sc
1 4 1 1
direct
0.0000 0.0000 0.0000
0.5000 0.0000 0.2921
0.0000 0.5000 0.2921
0.5000 0.0000 0.7079
0.0000 0.5000 0.7079
0.5000 0.5000 0.5000
0.5000 0.5000 0.0000

=====

# 16
KSmZnTe3 GGA-PBE relaxed; space group = Pnma, No. 62; magnetization = 0.000 μB/atom; energy relative to the lowest polymorph listed for this composition = 0.30 eV per formula unit
1.0
12.5677 0.0000 0.0000
0.0000 4.5528 0.0000
0.0000 0.0000 13.6292
K Sm Te Zn
4 4 12 4
direct
0.8192 0.5000 0.0051
0.3192 0.5000 0.4949
0.6808 0.0000 0.5051
0.1808 0.0000 0.9949
0.4732 0.5000 0.1793
0.9732 0.5000 0.3207
0.0268 0.0000 0.6793
0.5268 0.0000 0.8207
0.6011 0.0000 0.0639
0.9573 0.0000 0.1600
0.2178 0.5000 0.1916
0.7178 0.5000 0.3084
0.4573 0.0000 0.3400
0.1011 0.0000 0.4361
0.8989 0.5000 0.5639
0.5427 0.5000 0.6600
0.2822 0.0000 0.6916
0.7822 0.0000 0.8084
0.0427 0.5000 0.8400
0.3989 0.5000 0.9361
0.7531 0.0000 0.2033
0.2531 0.0000 0.2967
0.7469 0.5000 0.7033
0.2469 0.5000 0.7967

=====

# 17
RbHoBeSe3 GGA-PBE relaxed; space group = Cmcm, No. 63; magnetization = 0.000 μB/atom; final energy = -4.70 eV/atom
1.0
0.1026 5.1157 -6.1498
-3.8324 -3.6155 6.0202
2.9814 7.9911 6.6971
Be Ho Rb Se
2 2 2 6
direct
0.0380 0.9620 0.2500
0.9620 0.0380 0.7500
0.5000 0.5000 0.0000
0.5000 0.5000 0.5000
0.7596 0.2404 0.2500
0.2404 0.7596 0.7500
0.1174 0.8826 0.0775
0.4473 0.5527 0.2500
0.1174 0.8826 0.4225
0.8826 0.1174 0.5775
0.5527 0.4473 0.7500
0.8826 0.1174 0.9225

=====

# 18
MgHgSO GGA-PBE relaxed; space group = Pca2_1, No. 29; energy relative to the lowest polymorph listed for this composition = 0.98 eV per formula unit
1.0
-5.5917 1.0522 3.4638
3.8508 -0.8314 6.4690
1.1976 6.1214 0.0738
Hg Mg O S
4 4 4 4
direct
0.0996 0.1239 0.4767
0.5996 0.8761 0.4767
0.4004 0.1239 0.9767
0.9004 0.8761 0.9767
0.9430 0.3419 0.0284
0.4430 0.6581 0.0284
0.5570 0.3419 0.5284
0.0570 0.6581 0.5284
0.0747 0.1229 0.1049
0.5747 0.8771 0.1049
0.4253 0.1229 0.6049
0.9253 0.8771 0.6049
0.5926 0.3759 0.1401
0.0926 0.6241 0.1401
0.9074 0.3759 0.6401
0.4074 0.6241 0.6401

=====

# 19
Sm3CuSiSe7 GGA-PBE relaxed; space group = P6_3, No. 173; magnetization = 0.000 μB/atom; final energy = -5.32 eV/atom
1.0
-4.4897 7.0578 -6.3979
-3.3240 -0.9543 9.9468
4.0325 4.1475 1.7455
Cu Se Si Sm
2 14 2 6
direct
0.0000 0.0000 0.2807
0.0000 0.0000 0.7807
0.5208 0.1039 0.0110
0.5831 0.4792 0.0110
0.8961 0.4169 0.0110
0.3333 0.6667 0.0386
0.8350 0.0925 0.2694
0.9075 0.7425 0.2694
0.2575 0.1650 0.2694
0.4792 0.8961 0.5110
0.4169 0.5208 0.5110
0.1039 0.5831 0.5110
0.6667 0.3333 0.5386
0.1650 0.9075 0.7694
0.0925 0.2575 0.7694
0.7425 0.8350 0.7694
0.6667 0.3333 0.1631
0.3333 0.6667 0.6631
0.1271 0.3549 0.2508
0.2277 0.8729 0.2508
0.6452 0.7723 0.2508
0.7723 0.1271 0.7508
0.8729 0.6451 0.7508
0.3548 0.2277 0.7508

=====

# 20
CdHgS2 GGA-PBE relaxed; space group = P3m1, No. 156; final energy = -2.75 eV/atom
1.0
4.2144 0.0000 0.0000
-2.1072 3.6498 0.0000
0.0000 0.0000 6.8609
Cd Hg S
1 1 2
direct
0.0000 0.0000 0.9981
0.3333 0.6667 0.4998
0.0000 0.0000 0.3734
0.3333 0.6667 0.8787

=====

# 21
PrScW GGA-PBE relaxed; space group = F-43m, No. 216; magnetization = 0.001 μB/atom; calculated formation energy = 0.884 eV/atom; energy relative to the lowest polymorph listed for this composition = 0.00 eV per formula unit
1.0
0.0000 3.3811 3.3811
3.3811 0.0000 3.3811
3.3811 3.3811 0.0000
Pr Sc W
1 1 1
direct
0.2500 0.2500 0.2500
0.7500 0.7500 0.7500
0.0000 0.0000 0.0000

=====

# 22
NbCoBiPt GGA-PBE relaxed; space group = F-43m, No. 216; magnetization = 0.117 μB/atom; energy relative to the lowest polymorph listed for this composition = 0.00 eV per formula unit
1.0
1.5122 2.2535 3.7185
-3.0056 1.9587 2.8848
-0.6580 -1.7783 4.1949
Bi Co Nb Pt
1 1 1 1
direct
0.0000 0.0000 0.0000
0.7500 0.7500 0.7500
0.2500 0.2500 0.2500
0.5000 0.5000 0.5000